An optimized crystal structure of ZnAgOF2, computed with PBE.

It has space group P4/mmm (No. 123), with a = 4.004 Å, b = 4.004 Å, c = 3.965 Å, α = 90.00°, β = 90.00° and γ = 90.00°. The inequivalent atoms are Zn at (0.000, 0.000, 0.000), Ag at (0.500, 0.500, 0.500), O at (0.000, 0.000, 0.500) and F at (0.000, 0.500, 0.000).

Its size of the total moment is 0.0 μB per cell. The volume comes out at 12.7 Å³ per atom. The density of states at the Fermi level is 4.36 states/eV per cell. The uncorrected energy comes out at -3.644 eV/atom. For the energy relative to the elements, uncorrected, the calculation gives -1078.4 meV per atom. The value obtained for the energy above the lowest structure with this stoichiometry is 0 meV per atom.